This record from the Alexandria database describes a relaxed TaSeS2 crystal. The functional is GGA-PBE.

a b c (Å): 3.371 10.429 10.729
angles (deg): 90.00 90.00 90.00
Atoms (fractional coordinates):
Se1 0.250 0.811 0.669
Ta1 0.750 0.833 0.046
S1 0.250 0.769 0.407
Se2 0.250 0.689 0.169
S2 0.750 0.492 0.376
Ta2 0.250 0.333 0.454
S3 0.250 0.508 0.624
S4 0.250 0.731 0.907
Ta3 0.750 0.667 0.546
S5 0.750 0.008 0.876
S6 0.250 0.992 0.124
Se3 0.750 0.189 0.331
Se4 0.750 0.311 0.831
Ta4 0.250 0.167 0.954
S7 0.750 0.231 0.593
S8 0.750 0.269 0.093

Values from the calculation:
crystal system = orthorhombic
formation energy (no corrections) = -0.695 eV per atom
calculated total energy = -26.374 eV/f.u.

This record from the Alexandria database describes a relaxed Ac2NpP3Pd4 crystal. The functional is GGA-PBE.

a b c (Å): 4.264 4.264 11.420
angles (deg): 90.00 90.00 90.00
Atoms (fractional coordinates):
Ac1 0.000 0.500 0.781
P1 0.000 0.500 0.121
Ac2 0.500 0.000 0.219
P2 0.500 0.000 0.879
Pd1 0.500 0.500 0.000
Pd2 0.000 0.000 0.000
Pd3 0.000 0.500 0.335
Pd4 0.500 0.000 0.665
P3 0.000 0.000 0.500
Np1 0.500 0.500 0.500

Values from the calculation:
crystal system = tetragonal
energy relative to the elements = -796 meV per atom
calculated total energy = -66.114 eV/f.u.

This record from the Alexandria database describes a relaxed ThFe3Si3 crystal. The functional is GGA-PBE.

a b c (Å): 6.247 6.247 6.247
angles (deg): 90.00 90.00 90.00
Atoms (fractional coordinates):
Fe1 0.250 0.000 0.500
Si1 0.500 0.000 0.250
Fe2 0.000 0.500 0.750
Si2 0.250 0.500 0.000
Si3 0.000 0.250 0.500
Th1 0.000 0.000 0.000
Fe3 0.500 0.750 0.000
Si4 0.750 0.500 0.000
Si5 0.500 0.000 0.750
Fe4 0.000 0.500 0.250
Th2 0.500 0.500 0.500
Si6 0.000 0.750 0.500
Fe5 0.750 0.000 0.500
Fe6 0.500 0.250 0.000

Values from the calculation:
crystal system = cubic
formation energy (no corrections) = 0.000 eV per atom
E above lowest polymorph = 0.296 eV/atom
calculated total energy = -49.080 eV/f.u.

This record from the Alexandria database describes a relaxed Pm6Pt2Rh crystal. The functional is GGA-PBE.

a b c (Å): 6.778 7.421 10.388
angles (deg): 90.00 94.07 90.00
Atoms (fractional coordinates):
Pm1 0.160 0.045 0.753
Pm2 0.830 0.684 0.932
Pm3 0.176 0.324 0.423
Pt1 0.555 0.885 0.729
Pt2 0.445 0.115 0.271
Pm4 0.824 0.676 0.577
Pm5 0.330 0.816 0.432
Pm6 0.170 0.316 0.068
Pt3 0.055 0.615 0.229
Pm7 0.670 0.184 0.568
Rh1 0.500 0.500 0.000
Pm8 0.840 0.955 0.247
Pm9 0.324 0.824 0.077
Pt4 0.945 0.385 0.771
Rh2 0.000 0.000 0.500
Pm10 0.676 0.176 0.923
Pm11 0.660 0.455 0.253
Pm12 0.340 0.545 0.747

Values from the calculation:
crystal system = monoclinic
energy relative to the elements = -706 meV per atom
calculated total energy = -54.287 eV/f.u.

This record from the Alexandria database describes a relaxed SmMnRhAu crystal. The functional is GGA-PBE.

a b c (Å): 4.801 4.801 4.801
angles (deg): 60.00 60.00 60.00
Atoms (fractional coordinates):
Rh1 0.500 0.500 0.500
Sm1 0.750 0.750 0.750
Mn1 0.250 0.250 0.250
Au1 0.000 0.000 0.000

Values from the calculation:
crystal system = cubic
energy relative to the elements = -321 meV per atom
calculated total energy = -25.800 eV/f.u.

This record from the Alexandria database describes a relaxed AcNdTlSb crystal. The functional is GGA-PBE.

a b c (Å): 5.671 5.671 5.671
angles (deg): 60.00 60.00 60.00
Atoms (fractional coordinates):
Sb1 0.500 0.500 0.500
Nd1 0.250 0.250 0.250
Tl1 0.000 0.000 0.000
Ac1 0.750 0.750 0.750

Values from the calculation:
crystal system = cubic
formation energy (no corrections) = -0.551 eV per atom
calculated total energy = -17.570 eV/f.u.

This record from the Alexandria database describes a relaxed Ba2SrAu2 crystal. The functional is GGA-PBE.

a b c (Å): 5.998 5.998 7.442
angles (deg): 66.24 66.24 90.00
Atoms (fractional coordinates):
Ba1 0.340 0.340 0.320
Ba2 0.660 0.660 0.680
Au1 0.750 0.250 0.500
Au2 0.250 0.750 0.500
Sr1 0.000 0.000 0.000

Values from the calculation:
crystal system = tetragonal
energy relative to the elements = -335 meV per atom
E above lowest polymorph = 0.286 eV/atom
calculated total energy = -13.757 eV/f.u.

This record from the Alexandria database describes a relaxed TaNi2Ru crystal. The functional is GGA-PBE.

a b c (Å): 2.701 2.701 7.400
angles (deg): 90.00 90.00 90.00
Atoms (fractional coordinates):
Ni1 0.000 0.000 0.489
Ru1 0.500 0.500 0.250
Ni2 0.000 0.000 0.011
Ta1 0.500 0.500 0.750

Values from the calculation:
crystal system = tetragonal
energy relative to the elements = 41 meV per atom
E above lowest polymorph = 0.365 eV/atom
calculated total energy = -32.527 eV/f.u.

DOS at the Fermi energy values (in states/eV/cell) by entry order: 3.22, 10.06, 13.78, 17.39, 2.64, 4.60, 4.59, 5.08.